A geometry-optimized TmAgPbSe2S structure. Source: OQMD, functional PBE.

```
data_TmAgPbSe2S
_cell_length_a 4.124
_cell_length_b 13.649
_cell_length_c 10.315
_cell_angle_alpha 90.00
_cell_angle_beta 90.00
_cell_angle_gamma 90.00
_space_group_name_H-M_alt 'C m c m'
_space_group_IT_number 63
_space_group_name_Hall '-C 2c 2'
loop_
_atom_site_label
_atom_site_type_symbol
_atom_site_fract_x
_atom_site_fract_y
_atom_site_fract_z
Tm1 Tm 0.000 0.000 0.000
Ag1 Ag 0.000 0.471 0.250
Pb1 Pb 0.000 0.257 0.750
Se1 Se 0.000 0.357 0.047
S1 S 0.000 0.082 0.250
```

Properties
Energy in eV per formula unit: -27.94
Crystal system: orthorhombic
Calculated density in g/cm3: 7.7